A plane-wave DFT calculation with PBE was carried out for a relaxed CsLiSmTe3 crystal.

As for the total energy: -46.98 eV/cell.

The structure in POSCAR format:
```
CsLiSmTe3
1.0
2.2586 -8.2757 0.0000
2.2586 8.2757 0.0000
0.0000 0.0000 11.9693
Li Te Cs Sm
2 6 2 2
direct
0.9570 0.0430 0.2500
0.0430 0.9570 0.7500
0.4472 0.5528 0.7500
0.8732 0.1268 0.0491
0.1268 0.8732 0.9509
0.5528 0.4472 0.2500
0.8732 0.1268 0.4509
0.1268 0.8732 0.5491
0.2410 0.7590 0.2500
0.7590 0.2410 0.7500
0.5000 0.5000 0.0000
0.5000 0.5000 0.5000
```